*i*
# Zn2PtCl2

A relaxed structure of Zn2PtCl2 (PBE-GGA, Alexandria).

abc: 7.6363 7.6363 3.1658
angles: 90.00 90.00 90.00
Last column: nearest neighbours and their distance in Å.
Atoms (fractional coordinates):
1 Cl 0.6290 0.1290 0.0000  2 Zn 2.41
2 Pt 0.5000 0.5000 0.0000  4 Cl 3.00, 2 Pt 3.17, 8 Zn 3.17
3 Cl 0.1290 0.3710 0.0000  2 Zn 2.41
4 Zn 0.7969 0.2969 0.5000  2 Cl 2.41
5 Zn 0.2031 0.7031 0.5000  2 Cl 2.41
6 Zn 0.7031 0.7969 0.5000  2 Cl 2.41
7 Pt 0.0000 0.0000 0.0000  4 Cl 3.00, 2 Pt 3.17, 8 Zn 3.17
8 Cl 0.3710 0.8710 0.0000  2 Zn 2.41
9 Zn 0.2969 0.2031 0.5000  2 Cl 2.41
10 Cl 0.8710 0.6290 0.0000  2 Zn 2.41

***

*ii*
# Zn2PtCl2

A relaxed structure of Zn2PtCl2 (PBE-GGA, Alexandria).

abc: 5.3406 5.3406 5.3058
angles: 59.78 59.78 90.00
Last column: nearest neighbours and their distance in Å.
Atoms (fractional coordinates):
1 Cl 0.6940 0.6940 0.6119  1 Pt 2.28
2 Zn 0.7500 0.2500 0.5000  4 Cl 2.70
3 Cl 0.3060 0.3060 0.3881  1 Pt 2.28
4 Zn 0.2500 0.7500 0.5000  4 Cl 2.70
5 Pt 0.0000 0.0000 0.0000  2 Cl 2.28

***

Relative calculated energies, zero for the most stable structure, unit eV/atom: *i* 0.095; *ii* 0.000.

***

*i*
# Zn3PtCl

A relaxed structure of Zn3PtCl (PBE-GGA, Alexandria).

abc: 4.8910 4.8910 4.8910
angles: 90.00 90.00 90.00
Last column: nearest neighbours and their distance in Å.
Atoms (fractional coordinates):
1 Cl 0.5000 0.5000 0.5000  12 Zn 3.46
2 Zn 0.0000 0.5000 0.0000  2 Pt 2.45
3 Zn 0.0000 0.0000 0.5000  2 Pt 2.45
4 Pt 0.0000 0.0000 0.0000  6 Zn 2.45
5 Zn 0.5000 0.0000 0.0000  2 Pt 2.45

***

*ii*
# Zn3PtCl

A relaxed structure of Zn3PtCl (PBE-GGA, Alexandria).

abc: 4.6506 4.6506 4.6506
angles: 90.00 90.00 90.00
Last column: nearest neighbours and their distance in Å.
Atoms (fractional coordinates):
1 Zn 0.5000 0.0000 0.0000  2 Cl 2.33
2 Zn 0.0000 0.5000 0.0000  2 Cl 2.33
3 Pt 0.5000 0.5000 0.5000  12 Zn 3.29
4 Cl 0.0000 0.0000 0.0000  6 Zn 2.33
5 Zn 0.0000 0.0000 0.5000  2 Cl 2.33

***

Relative calculated energies, zero for the most stable structure, unit eV/atom: *i* 0.000; *ii* 0.955.

***

*i*
# ZrPtCl

A relaxed structure of ZrPtCl (PBE-GGA, Alexandria).

abc: 11.5441 3.7833 6.5534
angles: 90.00 90.25 90.00
Last column: nearest neighbours and their distance in Å.
Atoms (fractional coordinates):
1 Zr 0.1648 0.5000 0.2489  3 Pt 2.62-2.63, 3 Cl 2.77
2 Pt 0.8844 0.0000 0.7459  3 Zr 2.62, 3 Pt 2.82
3 Pt 0.0386 0.5000 0.5810  3 Zr 2.62-2.63, 3 Pt 2.82
4 Zr 0.7585 0.5000 0.9118  3 Pt 2.62, 3 Cl 2.76
5 Cl 0.3120 0.5000 0.9166  3 Zr 2.77
6 Cl 0.6128 0.0000 0.0772  3 Zr 2.76
7 Cl 0.3120 0.0000 0.4166  3 Zr 2.77
8 Cl 0.6128 0.5000 0.5772  3 Zr 2.76
9 Pt 0.8844 0.5000 0.2459  3 Zr 2.62, 3 Pt 2.82
10 Pt 0.0386 0.0000 0.0810  3 Zr 2.62-2.63, 3 Pt 2.82
11 Zr 0.1648 0.0000 0.7489  3 Pt 2.62-2.63, 3 Cl 2.77
12 Zr 0.7585 0.0000 0.4118  3 Pt 2.62, 3 Cl 2.76

***

*ii*
# ZrPtCl

A relaxed structure of ZrPtCl (PBE-GGA, Alexandria).

abc: 3.1354 3.1354 7.4492
angles: 90.00 90.00 120.00
Last column: nearest neighbours and their distance in Å.
Atoms (fractional coordinates):
1 Zr 0.3333 0.6667 0.6788  3 Cl 2.61, 3 Pt 2.81
2 Cl 0.0000 0.0000 0.9316  3 Zr 2.61
3 Pt 0.6667 0.3333 0.3896  3 Zr 2.81, 6 Pt 3.14

***

*iii*
# ZrPtCl

A relaxed structure of ZrPtCl (PBE-GGA, Alexandria).

abc: 7.1008 7.1007 3.1210
angles: 77.31 77.30 25.39
Last column: nearest neighbours and their distance in Å.
Atoms (fractional coordinates):
1 Pt 0.7078 0.7078 0.2922  4 Zr 2.79
2 Cl 0.9586 0.9586 0.0414  4 Zr 2.78
3 Zr 0.3336 0.3336 0.6664  4 Cl 2.78, 4 Pt 2.79

***

Relative calculated energies, zero for the most stable structure, unit eV/atom: *i* 0.000; *ii* 0.391; *iii* 0.283.

***

*i*
# RbPu2Cl5

A relaxed structure of RbPu2Cl5 (PBE-GGA, Alexandria).

abc: 4.2747 7.1819 8.5600
angles: 114.80 104.46 90.00
Last column: nearest neighbours and their distance in Å.
Atoms (fractional coordinates):
1 Cl 0.3472 0.6101 0.6944  3 Pu 2.90-2.91
2 Cl 0.6528 0.9157 0.3056  3 Pu 2.90-2.91
3 Cl 0.6528 0.3899 0.3056  3 Pu 2.90-2.91
4 Cl 0.0000 0.5000 0.0000  2 Pu 2.82
5 Cl 0.3472 0.0843 0.6944  3 Pu 2.90-2.91
6 Pu 0.1890 0.6890 0.3779  7 Cl 2.82-2.91
7 Rb 0.0000 0.0000 0.0000  10 Cl 3.56-3.59
8 Pu 0.8110 0.3110 0.6221  7 Cl 2.82-2.91

***

*ii*
# RbPu2Cl5

A relaxed structure of RbPu2Cl5 (PBE-GGA, Alexandria).

abc: 7.8010 7.8010 9.2792
angles: 114.86 114.86 90.00
Last column: nearest neighbours and their distance in Å.
Atoms (fractional coordinates):
1 Cl 0.4721 0.2768 0.2490  3 Pu 2.86-3.00
2 Pu 0.8499 0.6501 0.0000  8 Cl 2.86-3.00
3 Cl 0.2232 0.0279 0.7510  3 Pu 2.86-3.00
4 Cl 0.9721 0.4721 0.2490  3 Pu 2.86-3.00
5 Cl 0.2768 0.7768 0.2490  3 Pu 2.86-3.00
6 Rb 0.7500 0.7500 0.5000  10 Cl 3.50-3.73
7 Cl 0.0000 0.0000 0.0000  4 Pu 2.97
8 Cl 0.7232 0.2232 0.7510  3 Pu 2.86-3.00
9 Cl 0.0279 0.5279 0.7510  3 Pu 2.86-3.00
10 Rb 0.2500 0.2500 0.5000  10 Cl 3.50-3.73
11 Cl 0.5279 0.7232 0.7510  3 Pu 2.86-3.00
12 Cl 0.5000 0.5000 0.0000  4 Pu 2.97
13 Pu 0.3499 0.8499 0.0000  8 Cl 2.86-3.00
14 Cl 0.7768 0.9721 0.2490  3 Pu 2.86-3.00
15 Pu 0.6501 0.1501 0.0000  8 Cl 2.86-3.00
16 Pu 0.1501 0.3499 0.0000  8 Cl 2.86-3.00

***

Relative calculated energies, zero for the most stable structure, unit eV/atom: *i* 0.023; *ii* 0.000.